CaAcLaAg: relaxed, GGA-PBE.

## Properties
Energy of formation from the pure elements: 0.157 eV/atom
Distance to the lowest polymorph of the same formula: 0.287 eV/atom
Electronic total energy: -3.315 eV per atom

```
data_CaAcLaAg
_chemical_formula_sum 'Ca4 Ac4 La4 Ag4'
_space_group_name_H-M_alt 'F -4 3 m'
_space_group_IT_number 216
_space_group_name_Hall 'F -4 2 3'
_cell_length_a 8.1363
_cell_length_b 8.1363
_cell_length_c 8.1363
_cell_angle_alpha 90.00
_cell_angle_beta 90.00
_cell_angle_gamma 90.00
loop_
_atom_site_label
_atom_site_type_symbol
_atom_site_fract_x
_atom_site_fract_y
_atom_site_fract_z
Ca1 Ca 0.0000 0.0000 0.0000
Ac1 Ac 0.2500 0.2500 0.2500
La1 La 0.0000 0.0000 0.5000
Ag1 Ag 0.2500 0.2500 0.7500
```